Computed, not measured: Sr2TlCd after structural relaxation at the PBE-GGA level of DFT.

Summary:
Formation energy, eV per atom: -0.142
Total magnetization, μB/atom: 0.00

a b c (Å): 8.0888 8.0888 8.0888
angles (deg): 90.00 90.00 90.00
Last column: nearest neighbours and their distance in Å.
Space group F-43m (No. 216)
Inequivalent atoms, fractional coordinates:
Sr (0.0000, 0.0000, 0.0000) (multiplicity 4)  4 Cd 3.50, 4 Sr 3.50
Sr (0.2500, 0.2500, 0.2500) (multiplicity 4)  4 Sr 3.50, 4 Tl 3.50
Tl (0.0000, 0.0000, 0.5000) (multiplicity 4)  4 Cd 3.50, 4 Sr 3.50
Cd (0.2500, 0.2500, 0.7500) (multiplicity 4)  4 Tl 3.50, 4 Sr 3.50



Computed, not measured: Sr5TlCd2 after structural relaxation at the PBE-GGA level of DFT.

Summary:
Formation energy, eV per atom: -0.283
Total magnetization, μB/atom: 0.00

a b c (Å): 8.5415 8.5415 17.4062
angles (deg): 90.00 90.00 90.00
Last column: nearest neighbours and their distance in Å.
Space group I4/mcm (No. 140)
Inequivalent atoms, fractional coordinates:
Sr (0.0000, 0.0000, 0.0000) (multiplicity 4)  4 Cd 3.41
Sr (0.1752, 0.3248, 0.1496) (multiplicity 16)  3 Cd 3.60-3.65, 2 Tl 3.60, 1 Sr 3.93
Tl (0.0000, 0.0000, 0.2500) (multiplicity 4)  8 Sr 3.60
Cd (0.1189, 0.3811, 0.5000) (multiplicity 8)  1 Cd 2.87



Computed, not measured: Sr3Tl12Cd after structural relaxation at the PBE-GGA level of DFT.

Summary:
Formation energy, eV per atom: -0.180
Total magnetization, μB/atom: 0.00

a b c (Å): 5.3168 5.3168 17.4426
angles (deg): 90.00 90.00 90.00
Last column: nearest neighbours and their distance in Å.
Space group P4/mmm (No. 123)
Inequivalent atoms, fractional coordinates:
Sr (0.0000, 0.0000, 0.0000) (multiplicity 1)  12 Tl 3.48-3.76
Sr (0.0000, 0.0000, 0.2614) (multiplicity 2)  12 Tl 3.46-3.76
Tl (0.0000, 0.5000, 0.1287) (multiplicity 4)  8 Tl 3.46-3.76, 4 Sr 3.48-3.53
Tl (0.0000, 0.5000, 0.3886) (multiplicity 4)  4 Tl 3.29-3.53, 2 Cd 3.29, 2 Sr 3.46
Tl (0.5000, 0.5000, 0.0000) (multiplicity 1)  8 Tl 3.48, 4 Sr 3.76
Tl (0.5000, 0.5000, 0.2559) (multiplicity 2)  8 Tl 3.46-3.53, 4 Sr 3.76
Tl (0.5000, 0.5000, 0.5000) (multiplicity 1)  8 Tl 3.29
Cd (0.0000, 0.0000, 0.5000) (multiplicity 1)  8 Tl 3.29



Computed, not measured: Sr2TlCd6 after structural relaxation at the PBE-GGA level of DFT.

Summary:
Formation energy, eV per atom: -0.219
Total magnetization, μB/atom: 0.00

a b c (Å): 8.8982 9.0314 6.3374
angles (deg): 90.00 91.09 90.00
Last column: nearest neighbours and their distance in Å.
Space group C2/m (No. 12)
Inequivalent atoms, fractional coordinates:
Sr (0.1747, 0.0000, 0.1756) (multiplicity 4)  12 Cd 3.46-3.56, 1 Tl 3.52, 1 Sr 3.79
Tl (0.0000, 0.5000, 0.5000) (multiplicity 2)  12 Cd 3.50-3.52, 2 Sr 3.52
Cd (0.0000, 0.3332, 0.0000) (multiplicity 4)  3 Cd 3.01
Cd (0.1674, 0.1665, 0.6676) (multiplicity 8)  3 Cd 3.01



Computed, not measured: Sr2Tl5Cd4 after structural relaxation at the PBE-GGA level of DFT.

Summary:
Formation energy, eV per atom: -0.139
Total magnetization, μB/atom: 0.00

a b c (Å): 14.4038 6.4335 9.6777
angles (deg): 90.00 132.14 90.00
Last column: nearest neighbours and their distance in Å.
Space group C2/m (No. 12)
Inequivalent atoms, fractional coordinates:
Sr (0.2036, 0.0000, 0.2041) (multiplicity 4)  6 Cd 3.35-3.60
Tl (0.9998, 0.2544, 0.3174) (multiplicity 8)  4 Cd 3.16-3.45, 4 Tl 3.16-3.53
Tl (0.0000, 0.5000, 0.0000) (multiplicity 2)  4 Cd 3.06
Cd (0.2480, 0.5000, 0.0895) (multiplicity 4)  3 Tl 3.06-3.16, 1 Cd 3.06, 1 Sr 3.35
Cd (0.2483, 0.5000, 0.4060) (multiplicity 4)  1 Cd 3.06, 3 Tl 3.06-3.16, 1 Sr 3.35



Computed, not measured: Sr4TlCd after structural relaxation at the PBE-GGA level of DFT.

Summary:
Formation energy, eV per atom: -0.162
Energy above the most stable polymorph in this dataset, meV/atom: 108
Total magnetization, μB/atom: 0.00

a b c (Å): 9.9341 5.7440 9.9195
angles (deg): 90.00 109.47 90.00
Last column: nearest neighbours and their distance in Å.
Space group C2/m (No. 12)
Inequivalent atoms, fractional coordinates:
Sr (0.1221, 0.0000, 0.3666) (multiplicity 4)  1 Tl 3.43, 3 Cd 3.54
Sr (0.1276, 0.5000, 0.8831) (multiplicity 4)  3 Tl 3.49, 1 Cd 3.58
Tl (0.0000, 0.0000, 0.0000) (multiplicity 2)  8 Sr 3.43-3.49
Cd (0.0000, 0.5000, 0.5000) (multiplicity 2)  8 Sr 3.54-3.58



no.,DFT total energy (eV/atom)
1,-1.804
2,-1.859
3,-2.328
4,-1.466
5,-1.853
6,-1.830